PBE MgW, relaxed; relative energy among the computed polymorphs = 5.915 eV per formula unit; size of the total moment = 4.12 Bohr magnetons per cell; formation energy from the elements = 6.44 eV/f.u.; total DFT energy (no corrections) = -4.06 eV per atom
1.0
0.0000 3.2501 3.2501
3.2501 0.0000 3.2501
3.2501 3.2501 0.0000
Mg W
1 1
direct
0.0000 0.0000 0.0000
0.2500 0.2500 0.2500